(1)
VASP calculation (PBE with a Hubbard U) on a geometry-optimized KMg30CrO32 structure.

Cell lengths 8.5832, 8.5832, 8.5817 Å; angles 90.00, 90.00, 90.00 degrees
Fractional coordinates of all 64 atoms:
K  0.0000  0.0000  0.0000
Mg  0.0000  0.0000  0.5000
Mg  0.0000  0.2507  0.2516
Mg  0.0000  0.2507  0.7484
Mg  0.0000  0.5000  0.0000
Mg  0.0000  0.5000  0.5000
Mg  0.0000  0.7493  0.2516
Mg  0.0000  0.7493  0.7484
Mg  0.2479  0.5000  0.2514
Mg  0.2479  0.5000  0.7486
Mg  0.2490  0.2490  0.0000
Mg  0.2492  0.2492  0.5000
Mg  0.2490  0.7510  0.0000
Mg  0.2492  0.7508  0.5000
Mg  0.2507  0.0000  0.2516
Mg  0.2507  0.0000  0.7484
Mg  0.5000  0.0000  0.0000
Mg  0.5000  0.0000  0.5000
Mg  0.5000  0.2479  0.2514
Mg  0.5000  0.2479  0.7486
Mg  0.5000  0.5000  0.5000
Mg  0.5000  0.7521  0.2514
Mg  0.5000  0.7521  0.7486
Mg  0.7493  0.0000  0.2516
Mg  0.7493  0.0000  0.7484
Mg  0.7510  0.2490  0.0000
Mg  0.7508  0.2492  0.5000
Mg  0.7510  0.7510  0.0000
Mg  0.7508  0.7508  0.5000
Mg  0.7521  0.5000  0.2514
Mg  0.7521  0.5000  0.7486
Cr  0.5000  0.5000  0.0000
O  0.0000  0.0000  0.2733
O  0.0000  0.0000  0.7267
O  0.0000  0.2551  0.5000
O  0.0000  0.2747  0.0000
O  0.0000  0.5000  0.2533
O  0.0000  0.5000  0.7467
O  0.0000  0.7253  0.0000
O  0.0000  0.7449  0.5000
O  0.2507  0.2507  0.2493
O  0.2507  0.2507  0.7507
O  0.2507  0.7493  0.2493
O  0.2507  0.7493  0.7507
O  0.2537  0.5000  0.5000
O  0.2551  0.0000  0.5000
O  0.2614  0.5000  0.0000
O  0.2747  0.0000  0.0000
O  0.5000  0.0000  0.2533
O  0.5000  0.0000  0.7467
O  0.5000  0.2537  0.5000
O  0.5000  0.2614  0.0000
O  0.5000  0.5000  0.2427
O  0.5000  0.5000  0.7573
O  0.5000  0.7386  0.0000
O  0.5000  0.7463  0.5000
O  0.7253  0.0000  0.0000
O  0.7386  0.5000  0.0000
O  0.7449  0.0000  0.5000
O  0.7463  0.5000  0.5000
O  0.7493  0.2507  0.2493
O  0.7493  0.2507  0.7507
O  0.7493  0.7493  0.2493
O  0.7493  0.7493  0.7507

Output
**Density**: 3.5 g/cm3
**Final energy**: -381.71 eV for the cell shown

---

(2)
VASP calculation (PBE with a Hubbard U) on a geometry-optimized KMgCrO2 structure.

Cell lengths 4.1221, 4.1221, 4.7421 Å; angles 90.00, 90.00, 90.00 degrees
Fractional coordinates of all 5 atoms:
K  0.0000  0.0000  0.0000
Mg  0.0000  0.0000  0.5000
Cr  0.5000  0.5000  0.0000
O  0.0000  0.5000  0.5000
O  0.5000  0.0000  0.5000

Output
**Density**: 3.0 g/cm3
**Final energy**: -21.30 eV for the cell shown